Entry from the Open Quantum Materials Database: an optimized crystal structure of ZnCuNiAg (PBE-GGA).

Summary:
Electronic total energy in eV/atom: -3.2887
Formation energy in eV per atom: 0.0548
Excess energy over the best structure of this formula in the dataset in meV/atom: 25

a b c (Å): 4.2526 4.2526 4.2526
angles (deg): 60.00 60.00 60.00
Last column: nearest neighbours and their distance in Å.
Fractional coordinates of all 4 atoms:
Zn (0.0000, 0.0000, 0.0000)  4 Ag 2.60, 4 Cu 2.60
Cu (0.2500, 0.2500, 0.2500)  4 Ni 2.60, 4 Zn 2.60
Ni (0.5000, 0.5000, 0.5000)  4 Cu 2.60, 4 Ag 2.60
Ag (0.7500, 0.7500, 0.7500)  4 Ni 2.60, 4 Zn 2.60


Entry from the Open Quantum Materials Database: an optimized crystal structure of NpCuAg (PBE-GGA).

Summary:
Electronic total energy in eV/atom: -4.6472
Formation energy in eV per atom: 1.7898

a b c (Å): 4.5764 4.5764 4.5764
angles (deg): 60.00 60.00 60.00
Last column: nearest neighbours and their distance in Å.
Fractional coordinates of all 3 atoms:
Np (0.0000, 0.0000, 0.0000)  4 Cu 2.80
Cu (0.7500, 0.7500, 0.7500)  4 Np 2.80, 4 Ag 2.80
Ag (0.5000, 0.5000, 0.5000)  4 Cu 2.80


Entry from the Open Quantum Materials Database: an optimized crystal structure of CuAg2Os (PBE-GGA).

Summary:
Electronic total energy in eV/atom: -4.3789
Formation energy in eV per atom: 0.7690

a b c (Å): 4.4544 4.4544 4.4544
angles (deg): 60.00 60.00 60.00
Last column: nearest neighbours and their distance in Å.
Fractional coordinates of all 4 atoms:
Cu (0.0000, 0.0000, 0.0000)  4 Os 2.73, 4 Ag 2.73
Ag (0.2500, 0.2500, 0.2500)  4 Cu 2.73, 4 Ag 2.73
Ag (0.5000, 0.5000, 0.5000)  4 Os 2.73, 4 Ag 2.73
Os (0.7500, 0.7500, 0.7500)  4 Cu 2.73, 4 Ag 2.73


Entry from the Open Quantum Materials Database: an optimized crystal structure of CuAgOsPb (PBE-GGA).

Summary:
Electronic total energy in eV/atom: -4.6648
Excess energy over the best structure of this formula in the dataset in meV/atom: 0

a b c (Å): 4.6045 4.6045 4.6045
angles (deg): 60.00 60.00 60.00
Last column: nearest neighbours and their distance in Å.
Fractional coordinates of all 4 atoms:
Cu (0.0000, 0.0000, 0.0000)  4 Pb 2.82, 4 Ag 2.82
Ag (0.2500, 0.2500, 0.2500)  4 Os 2.82, 4 Cu 2.82
Os (0.5000, 0.5000, 0.5000)  4 Pb 2.82, 4 Ag 2.82
Pb (0.7500, 0.7500, 0.7500)  4 Os 2.82, 4 Cu 2.82


Entry from the Open Quantum Materials Database: an optimized crystal structure of CuSiAgOs (PBE-GGA).

Summary:
Electronic total energy in eV/atom: -5.4707
Excess energy over the best structure of this formula in the dataset in meV/atom: 0

a b c (Å): 4.3031 4.3031 4.3031
angles (deg): 60.00 60.00 60.00
Last column: nearest neighbours and their distance in Å.
Fractional coordinates of all 4 atoms:
Cu (0.0000, 0.0000, 0.0000)  4 Si 2.64, 4 Ag 2.64
Si (0.7500, 0.7500, 0.7500)  4 Os 2.64, 4 Cu 2.64
Ag (0.2500, 0.2500, 0.2500)  4 Os 2.64, 4 Cu 2.64
Os (0.5000, 0.5000, 0.5000)  4 Si 2.64, 4 Ag 2.64


Entry from the Open Quantum Materials Database: an optimized crystal structure of CuAgSnOs (PBE-GGA).

Summary:
Electronic total energy in eV/atom: -5.0312
Excess energy over the best structure of this formula in the dataset in meV/atom: 0

a b c (Å): 4.5217 4.5217 4.5217
angles (deg): 60.00 60.00 60.00
Last column: nearest neighbours and their distance in Å.
Fractional coordinates of all 4 atoms:
Cu (0.0000, 0.0000, 0.0000)  4 Sn 2.77, 4 Ag 2.77
Ag (0.2500, 0.2500, 0.2500)  4 Os 2.77, 4 Cu 2.77
Sn (0.7500, 0.7500, 0.7500)  4 Os 2.77, 4 Cu 2.77
Os (0.5000, 0.5000, 0.5000)  4 Sn 2.77, 4 Ag 2.77


Entry from the Open Quantum Materials Database: an optimized crystal structure of TlCuAgOs (PBE-GGA).

Summary:
Electronic total energy in eV/atom: -4.2574
Excess energy over the best structure of this formula in the dataset in meV/atom: 0

a b c (Å): 4.5719 4.5719 4.5719
angles (deg): 60.00 60.00 60.00
Last column: nearest neighbours and their distance in Å.
Fractional coordinates of all 4 atoms:
Tl (0.0000, 0.0000, 0.0000)  4 Os 2.80, 4 Cu 2.80
Cu (0.2500, 0.2500, 0.2500)  4 Ag 2.80, 4 Tl 2.80
Ag (0.5000, 0.5000, 0.5000)  4 Os 2.80, 4 Cu 2.80
Os (0.7500, 0.7500, 0.7500)  4 Ag 2.80, 4 Tl 2.80


Entry from the Open Quantum Materials Database: an optimized crystal structure of SmCu2AgP2 (PBE-GGA).

Summary:
Electronic total energy in eV/atom: -4.8393

a b c (Å): 4.0483 4.0483 7.1055
angles (deg): 90.00 90.00 120.00
Last column: nearest neighbours and their distance in Å.
Fractional coordinates of all 6 atoms:
Sm (0.0000, 0.0000, 0.0000)  6 P 2.92, 6 Cu 3.15
Cu (0.3333, 0.6667, 0.7032)  3 P 2.36
Cu (0.6667, 0.3333, 0.2968)  3 P 2.36
Ag (0.0000, 0.0000, 0.5000)  6 Cu 2.75, 6 P 2.95
P (0.3333, 0.6667, 0.2470)  3 Cu 2.36
P (0.6667, 0.3333, 0.7530)  3 Cu 2.36